The following is a DFT calculation (PBE) of Ga3TcO after structural relaxation.

The offset from the most stable computed form comes out at 0 meV per atom. The raw total energy comes out at -24.34 eV/cell. Its formation energy (no corrections) is 13 meV per atom. As for the total magnetic moment: 1.63 μB/cell.

The structure belongs to space group Pm-3m (No. 221); the cell edges are 4.179, 4.179 and 4.179 Å and the angles 90.00°, 90.00° and 90.00°. The distinct sites, in fractional coordinates, are Ga at (0.000, 0.000, 0.500), Tc at (0.500, 0.500, 0.500) and O at (0.000, 0.000, 0.000).